The following is a DFT calculation (PBE) of Ta3TiZn after structural relaxation.

Results
- formation energy (eV per atom) = 1.29
- E above lowest polymorph (eV/atom) = 0.000
- DOS at the Fermi energy (states/eV per cell) = 9.57
- M_tot (Bohr magnetons per cell) = 0.00
- E (eV per atom) = -7.66

Cell: 4.692 4.692 4.692 Å, 90.00 90.00 90.00°
Space group Pm-3m (No. 221)
One atom of each set of equivalent atoms:
Ta 0.000 0.000 0.500 [3 per cell]
Ti 0.500 0.500 0.500 [1 per cell]
Zn 0.000 0.000 0.000 [1 per cell]


The following is a DFT calculation (PBE) of TiAlS2Cl after structural relaxation.

Results
- E above lowest polymorph (eV/atom) = 0.360
- uncorrected formation energy (eV/atom) = -0.280
- DOS at the Fermi energy (states/eV per cell) = 4.04
- M_tot (Bohr magnetons per cell) = 0.43
- E (eV per atom) = -4.63

Cell: 4.714 4.714 4.450 Å, 90.00 90.00 90.00°
Space group P4/mmm (No. 123)
One atom of each set of equivalent atoms:
Ti 0.000 0.000 0.000 [1 per cell]
Al 0.500 0.500 0.500 [1 per cell]
S 0.000 0.500 0.500 [2 per cell]
Cl 0.500 0.500 0.000 [1 per cell]